# TbCoO3

Crystalline TbCoO3 at its relaxed geometry (PBE+U, OQMD).

The structure in POSCAR format:
```
TbCoO3
1.0
4.095 0.000 0.000
0.000 4.095 0.000
0.000 0.000 4.614
Tb Co O
1 1 3
Cartesian
0.000 0.000 0.000
2.047 2.047 1.251
0.000 0.000 2.464
0.000 2.047 0.738
2.047 0.000 0.738
```

Properties
- Space group: P4mm, No. 99
- VASP energy: -6.485 eV per atom